DFT (PBE) results for a relaxed structure of TbY5Er2.

Lattice parameters (Å, degrees): 7.111 14.222 5.015 90.00 90.00 90.00
Space group Pbam (No. 55)
Symmetry-distinct sites (fractional):
Tb  0.000  0.000  0.000 (multiplicity 2)
Y  0.000  0.250  0.000 (multiplicity 4)
Y  0.000  0.500  0.000 (multiplicity 2)
Y  0.250  0.125  0.500 (multiplicity 4)
Er  0.249  0.875  0.500 (multiplicity 4)

Output
Density of states at the Fermi level: 20.45 states/eV per cell
Theoretical density: 6.14 g/cm3
Energy relative to the elements: 22 meV/atom
E above lowest polymorph: 0 meV per atom

---

DFT (PBE) results for a relaxed structure of Tb3Y12Er.

Lattice parameters (Å, degrees): 5.043 5.043 20.168 90.00 90.00 90.00
Space group P4/mmm (No. 123)
Symmetry-distinct sites (fractional):
Tb  0.000  0.000  0.000 (multiplicity 1)
Tb  0.000  0.000  0.250 (multiplicity 2)
Y  0.000  0.500  0.125 (multiplicity 4)
Y  0.000  0.500  0.376 (multiplicity 4)
Y  0.500  0.500  0.000 (multiplicity 1)
Y  0.500  0.500  0.251 (multiplicity 2)
Y  0.500  0.500  0.500 (multiplicity 1)
Er  0.000  0.000  0.500 (multiplicity 1)

Output
Density of states at the Fermi level: 22.20 states/eV per cell
Theoretical density: 5.54 g/cm3
Energy relative to the elements: 23 meV/atom

---

DFT (PBE) results for a relaxed structure of Tb2Y5Er5.

Lattice parameters (Å, degrees): 17.008 5.595 9.650 90.00 124.56 90.00
Space group C2/m (No. 12)
Symmetry-distinct sites (fractional):
Tb  0.125  0.000  0.293 (multiplicity 4)
Y  0.000  0.000  0.500 (multiplicity 2)
Y  0.125  0.000  0.960 (multiplicity 4)
Y  0.250  0.000  0.751 (multiplicity 4)
Er  0.000  0.500  0.000 (multiplicity 2)
Er  0.124  0.500  0.789 (multiplicity 4)
Er  0.125  0.500  0.456 (multiplicity 4)

Output
Density of states at the Fermi level: 47.00 states/eV per cell
Theoretical density: 7.02 g/cm3
Energy relative to the elements: 68 meV/atom
E above lowest polymorph: 44 meV per atom

---

DFT (PBE) results for a relaxed structure of Tb3Y8Er.

Lattice parameters (Å, degrees): 6.142 6.163 10.718 90.25 90.44 109.08
Space group P-1 (No. 2)
Symmetry-distinct sites (fractional):
Tb  0.000  0.000  0.000 (multiplicity 1)
Tb  0.000  0.500  0.500 (multiplicity 1)
Tb  0.500  0.000  0.500 (multiplicity 1)
Y  0.000  0.000  0.334 (multiplicity 2)
Y  0.000  0.500  0.166 (multiplicity 2)
Y  0.500  0.000  0.166 (multiplicity 2)
Y  0.500  0.500  0.333 (multiplicity 2)
Er  0.500  0.500  0.000 (multiplicity 1)

Output
Density of states at the Fermi level: 16.93 states/eV per cell
Theoretical density: 5.87 g/cm3
Energy relative to the elements: 22 meV/atom

---

DFT (PBE) results for a relaxed structure of Tb12Y6Er.

Lattice parameters (Å, degrees): 13.1823 13.1823 12.6615 90.00 90.00 120.00
Space group R-3m (No. 166, hexagonal axes)
Symmetry-distinct sites (fractional):
Tb  0.0000  0.2573  0.0000 (multiplicity 18)
Tb  0.0911  0.1822  0.7642 (multiplicity 18)
Y  0.0405  0.5203  0.1192 (multiplicity 18)
Er  0.0000  0.0000  0.5000 (multiplicity 3)

Output
Density of states at the Fermi level: 104.33 states/eV per cell
Theoretical density: 6.82 g/cm3
Energy relative to the elements: 211 meV/atom
E above lowest polymorph: 0 meV per atom

---

DFT (PBE) results for a relaxed structure of Tb4Y3Er.

Lattice parameters (Å, degrees): 23.439 3.483 6.678 90.00 106.47 90.00
Space group C2/m (No. 12)
Symmetry-distinct sites (fractional):
Tb  0.124  0.000  0.368 (multiplicity 4)
Tb  0.240  0.500  0.241 (multiplicity 4)
Y  0.000  0.000  0.500 (multiplicity 2)
Y  0.125  0.000  0.882 (multiplicity 4)
Er  0.000  0.500  0.000 (multiplicity 2)

Output
Density of states at the Fermi level: 29.09 states/eV per cell
Theoretical density: 6.79 g/cm3
Energy relative to the elements: 168 meV/atom
E above lowest polymorph: 162 meV per atom

---

DFT (PBE) results for a relaxed structure of Tb3Y2Er2.

Lattice parameters (Å, degrees): 3.526 5.460 23.208 90.00 90.00 90.00
Space group Immm (No. 71)
Symmetry-distinct sites (fractional):
Tb  0.000  0.000  0.000 (multiplicity 2)
Tb  0.000  0.500  0.224 (multiplicity 4)
Y  0.000  0.000  0.142 (multiplicity 4)
Er  0.000  0.000  0.422 (multiplicity 4)

Output
Density of states at the Fermi level: 26.41 states/eV per cell
Theoretical density: 7.35 g/cm3
Energy relative to the elements: 55 meV/atom
E above lowest polymorph: 34 meV per atom

---

DFT (PBE) results for a relaxed structure of Tb11Y4Er9.

Lattice parameters (Å, degrees): 16.640 25.224 3.637 90.00 90.00 90.00
Space group Cmmm (No. 65)
Symmetry-distinct sites (fractional):
Tb  0.000  0.000  0.000 (multiplicity 2)
Tb  0.000  0.161  0.000 (multiplicity 4)
Tb  0.000  0.367  0.000 (multiplicity 4)
Tb  0.211  0.500  0.000 (multiplicity 4)
Tb  0.224  0.181  0.000 (multiplicity 8)
Y  0.156  0.399  0.500 (multiplicity 8)
Er  0.000  0.500  0.500 (multiplicity 2)
Er  0.102  0.267  0.500 (multiplicity 8)
Er  0.140  0.073  0.500 (multiplicity 8)

Output
Density of states at the Fermi level: 64.39 states/eV per cell
Theoretical density: 7.85 g/cm3
Energy relative to the elements: 62 meV/atom

---

DFT (PBE) results for a relaxed structure of TbY4Er3.

Lattice parameters (Å, degrees): 11.223 7.263 6.274 90.00 90.00 90.00
Space group Pmn2_1 (No. 31)
Symmetry-distinct sites (fractional):
Tb  0.000  0.123  0.000 (multiplicity 2)
Y  0.000  0.373  0.497 (multiplicity 2)
Y  0.000  0.627  0.996 (multiplicity 2)
Y  0.249  0.627  0.333 (multiplicity 4)
Er  0.000  0.877  0.500 (multiplicity 2)
Er  0.250  0.123  0.330 (multiplicity 4)

Output
Density of states at the Fermi level: 28.19 states/eV per cell
Theoretical density: 6.60 g/cm3
Energy relative to the elements: 1 meV/atom
E above lowest polymorph: 0 meV per atom

---

DFT (PBE) results for a relaxed structure of Tb8Y2Er3.

Lattice parameters (Å, degrees): 7.609 20.295 5.592 90.00 90.00 90.00
Space group Cmmm (No. 65)
Symmetry-distinct sites (fractional):
Tb  0.000  0.131  0.000 (multiplicity 4)
Tb  0.000  0.335  0.000 (multiplicity 4)
Tb  0.210  0.393  0.500 (multiplicity 8)
Y  0.000  0.241  0.500 (multiplicity 4)
Er  0.000  0.000  0.500 (multiplicity 2)
Er  0.215  0.500  0.000 (multiplicity 4)

Output
Density of states at the Fermi level: 42.17 states/eV per cell
Theoretical density: 7.50 g/cm3
Energy relative to the elements: 227 meV/atom

---

DFT (PBE) results for a relaxed structure of Tb6YEr8.

Lattice parameters (Å, degrees): 8.9910 8.9910 20.5156 90.00 90.00 120.00
Space group R-3 (No. 148, hexagonal axes)
Symmetry-distinct sites (fractional):
Tb  0.0671  0.8190  0.2085 (multiplicity 18)
Y  0.0000  0.0000  0.5000 (multiplicity 3)
Er  0.0000  0.0000  0.0765 (multiplicity 6)
Er  0.0813  0.5300  0.3087 (multiplicity 18)

Output
Density of states at the Fermi level: 67.57 states/eV per cell
Theoretical density: 8.26 g/cm3
Energy relative to the elements: 130 meV/atom
E above lowest polymorph: 0 meV per atom

---

DFT (PBE) results for a relaxed structure of TbY12Er7.

Lattice parameters (Å, degrees): 12.8086 12.8086 13.6124 90.00 90.00 120.00
Space group R-3 (No. 148, hexagonal axes)
Symmetry-distinct sites (fractional):
Tb  0.0000  0.0000  0.0000 (multiplicity 3)
Y  0.0024  0.4376  0.7483 (multiplicity 18)
Y  0.0684  0.8685  0.3493 (multiplicity 18)
Er  0.0000  0.0000  0.5000 (multiplicity 3)
Er  0.0689  0.1992  0.8461 (multiplicity 18)

Output
Density of states at the Fermi level: 58.39 states/eV per cell
Theoretical density: 6.17 g/cm3
Energy relative to the elements: 289 meV/atom
E above lowest polymorph: 0 meV per atom